(1)
Entry from Alexandria: a relaxed structure of InPPb2O (GGA-PBEsol).

a = 3.9444 Å, b = 5.6920 Å, c = 5.6920 Å
α = 90.00°, β = 90.00°, γ = 90.00°
With the nearest neighbours (Å) after each atom.
Fractional positions:
Pb: 0.0000 0.0000 0.5000  2 In 2.85
Pb: 0.0000 0.5000 0.0000  2 In 2.85
P: 0.5000 0.5000 0.5000  8 Pb 3.46
O: 0.5000 0.0000 0.0000  2 In 1.97
In: 0.0000 0.0000 0.0000  2 O 1.97

Values from the calculation:
The symmetry is P4/mmm, No. 123. As for the total DFT energy (no corrections): -4.0613 eV per atom. Its density of states at the Fermi level is 3.215 states/eV per cell.

(2)
Entry from Alexandria: a relaxed structure of LiAuO3 (GGA-PBEsol).

a = 3.6656 Å, b = 3.6656 Å, c = 3.6656 Å
α = 90.00°, β = 90.00°, γ = 90.00°
With the nearest neighbours (Å) after each atom.
Fractional positions:
Au: 0.5000 0.5000 0.5000  12 O 2.59
O: 0.0000 0.5000 0.0000  2 Li 1.83
O: 0.0000 0.0000 0.5000  2 Li 1.83
O: 0.5000 0.0000 0.0000  2 Li 1.83
Li: 0.0000 0.0000 0.0000  6 O 1.83

Values from the calculation:
The symmetry is Pm-3m, No. 221. As for the total DFT energy (no corrections): -3.9638 eV per atom. Its density of states at the Fermi level is 1.427 states/eV per cell.

(3)
Entry from Alexandria: a relaxed structure of NiAgB3 (GGA-PBEsol).

a = 3.7964 Å, b = 3.7964 Å, c = 3.7964 Å
α = 90.00°, β = 90.00°, γ = 90.00°
With the nearest neighbours (Å) after each atom.
Fractional positions:
Ni: 0.0000 0.0000 0.0000  6 B 1.90
B: 0.0000 0.5000 0.0000  2 Ni 1.90
B: 0.0000 0.0000 0.5000  2 Ni 1.90
B: 0.5000 0.0000 0.0000  2 Ni 1.90
Ag: 0.5000 0.5000 0.5000  12 B 2.68

Values from the calculation:
Its formation energy is 1.068 eV/atom. The symmetry is Pm-3m, No. 221. As for the total DFT energy (no corrections): -5.0358 eV per atom. Its density of states at the Fermi level is 1.248 states/eV per cell.

(4)
Entry from Alexandria: a relaxed structure of Fe2SiNi (GGA-PBEsol).

a = 3.6757 Å, b = 4.0836 Å, c = 3.6757 Å
α = 63.25°, β = 90.00°, γ = 116.75°
With the nearest neighbours (Å) after each atom.
Fractional positions:
Ni: 0.5000 0.0000 0.5000  8 Fe 2.42-2.60, 4 Si 2.42
Si: 0.7500 0.5000 0.7500  8 Fe 2.42-2.60, 4 Ni 2.42
Fe: 0.0000 0.0000 0.0000  4 Fe 2.42, 4 Si 2.42, 4 Ni 2.60
Fe: 0.2500 0.5000 0.2500  4 Fe 2.42, 4 Ni 2.42, 4 Si 2.60

Values from the calculation:
The symmetry is I-4m2, No. 119. As for the total DFT energy (no corrections): -7.8008 eV per atom. Its density of states at the Fermi level is 3.057 states/eV per cell.

(5)
Entry from Alexandria: a relaxed structure of Sr4CaCl10 (GGA-PBEsol).

a = 4.8567 Å, b = 6.8627 Å, c = 12.8138 Å
α = 105.53°, β = 100.92°, γ = 90.00°
With the nearest neighbours (Å) after each atom.
Fractional positions:
Sr: 0.5980 0.5980 0.1959  8 Cl 2.97-2.99
Sr: 0.1988 0.1988 0.3976  8 Cl 2.98-3.00
Sr: 0.8012 0.8012 0.6024  8 Cl 2.98-3.00
Sr: 0.4020 0.4020 0.8041  8 Cl 2.97-2.99
Ca: 0.0000 0.0000 0.0000  8 Cl 2.89-2.93
Cl: 0.9034 0.1494 0.8067  1 Ca 2.89, 3 Sr 2.99
Cl: 0.6993 0.9480 0.3987  4 Sr 2.98-3.00
Cl: 0.3007 0.5493 0.6013  4 Sr 2.98-3.00
Cl: 0.5000 0.7607 0.0000  2 Ca 2.93, 2 Sr 2.97
Cl: 0.0966 0.3427 0.1933  1 Ca 2.89, 3 Sr 2.99
Cl: 0.9034 0.6573 0.8067  1 Ca 2.89, 3 Sr 2.99
Cl: 0.6993 0.4507 0.3987  4 Sr 2.98-3.00
Cl: 0.3007 0.0520 0.6013  4 Sr 2.98-3.00
Cl: 0.5000 0.2393 0.0000  2 Ca 2.93, 2 Sr 2.97
Cl: 0.0966 0.8506 0.1933  1 Ca 2.89, 3 Sr 2.99

Values from the calculation:
The symmetry is Immm, No. 71. As for the total DFT energy (no corrections): -4.4375 eV per atom. Its density of states at the Fermi level is 0.000 states/eV per cell.

(6)
Entry from Alexandria: a relaxed structure of Co15O28 (GGA-PBEsol).

a = 7.3765 Å, b = 7.8815 Å, c = 8.3703 Å
α = 103.75°, β = 104.71°, γ = 105.40°
With the nearest neighbours (Å) after each atom.
Fractional positions:
Co: 0.1407 0.9283 0.5721  6 O 1.83-1.94
Co: 0.4296 0.7869 0.7126  6 O 1.83-1.95
Co: 0.0821 0.2244 0.7823  6 O 1.82-1.89
Co: 0.7033 0.6329 0.8579  6 O 1.82-1.89
Co: 0.2138 0.6417 0.3558  6 O 1.85-1.86
Co: 0.6329 0.9215 0.0741  6 O 1.82-1.90
Co: 0.0000 0.5000 0.0000  6 O 1.85-1.91
Co: 0.3671 0.0785 0.9259  6 O 1.82-1.90
Co: 0.5000 0.5000 0.5000  6 O 1.85-1.86
Co: 0.9179 0.7756 0.2177  6 O 1.82-1.89
Co: 0.7862 0.3583 0.6442  6 O 1.85-1.86
Co: 0.2967 0.3671 0.1421  6 O 1.82-1.89
Co: 0.5704 0.2131 0.2874  6 O 1.83-1.95
Co: 0.0000 0.0000 0.0000  6 O 2.01-2.05
Co: 0.8593 0.0717 0.4279  6 O 1.83-1.94
O: 0.0924 0.9896 0.7923  4 Co 1.89-2.01
O: 0.3788 0.8443 0.9220  3 Co 1.82-1.86
O: 0.1693 0.7003 0.5682  3 Co 1.83-1.86
O: 0.0260 0.2635 0.9936  4 Co 1.89-2.05
O: 0.1847 0.8702 0.3635  3 Co 1.83-1.87
O: 0.0507 0.4478 0.7908  3 Co 1.82-1.86
O: 0.7051 0.8762 0.8702  4 Co 1.89-2.01
O: 0.5932 0.9841 0.2834  3 Co 1.82-1.86
O: 0.4478 0.5553 0.7082  3 Co 1.82-1.86
O: 0.3439 0.3084 0.9321  3 Co 1.85
O: 0.4769 0.7297 0.5039  3 Co 1.84-1.86
O: 0.8774 0.8404 0.4264  3 Co 1.82-1.86
O: 0.7362 0.4102 0.8534  3 Co 1.83-1.85
O: 0.2389 0.4131 0.3487  3 Co 1.85-1.86
O: 0.7611 0.5869 0.6513  3 Co 1.85-1.86
O: 0.2638 0.5898 0.1466  3 Co 1.83-1.85
O: 0.1226 0.1596 0.5736  3 Co 1.82-1.86
O: 0.6561 0.6916 0.0679  3 Co 1.85
O: 0.4068 0.0159 0.7166  3 Co 1.82-1.86
O: 0.5231 0.2703 0.4961  3 Co 1.84-1.86
O: 0.5522 0.4447 0.2918  3 Co 1.82-1.86
O: 0.8153 0.1298 0.6365  3 Co 1.83-1.87
O: 0.2949 0.1238 0.1298  4 Co 1.89-2.01
O: 0.8307 0.2997 0.4318  3 Co 1.83-1.86
O: 0.9740 0.7365 0.0064  4 Co 1.89-2.05
O: 0.9493 0.5522 0.2092  3 Co 1.82-1.86
O: 0.6212 0.1557 0.0780  3 Co 1.82-1.86
O: 0.9076 0.0104 0.2077  4 Co 1.89-2.01

Values from the calculation:
The symmetry is P-1, No. 2. As for the total DFT energy (no corrections): -7.0182 eV per atom. Its density of states at the Fermi level is 39.972 states/eV per cell.

(7)
Entry from Alexandria: a relaxed structure of Ir2AuCl (GGA-PBEsol).

a = 4.4464 Å, b = 4.4464 Å, c = 4.4464 Å
α = 60.00°, β = 60.00°, γ = 60.00°
With the nearest neighbours (Å) after each atom.
Fractional positions:
Ir: 0.0000 0.0000 0.0000  4 Ir 2.72, 4 Cl 2.72
Ir: 0.7500 0.7500 0.7500  4 Ir 2.72, 4 Au 2.72
Au: 0.5000 0.5000 0.5000  4 Cl 2.72, 4 Ir 2.72
Cl: 0.2500 0.2500 0.2500  4 Ir 2.72, 4 Au 2.72

Values from the calculation:
The symmetry is F-43m, No. 216. As for the total DFT energy (no corrections): -5.4041 eV per atom. The distance to the lowest polymorph of the same formula is 0.000 eV/atom. Its density of states at the Fermi level is 3.842 states/eV per cell.

(8)
Entry from Alexandria: a relaxed structure of TcNiRu (GGA-PBEsol).

a = 2.6279 Å, b = 2.6279 Å, c = 5.7936 Å
α = 103.11°, β = 103.11°, γ = 90.00°
With the nearest neighbours (Å) after each atom.
Fractional positions:
Ni: 0.9996 0.9996 0.9991  4 Tc 2.59, 4 Ru 2.60, 4 Ni 2.63
Ru: 0.6656 0.6656 0.3311  4 Ni 2.60, 4 Ru 2.63, 4 Tc 2.63
Tc: 0.3349 0.3349 0.6698  4 Ni 2.59, 4 Tc 2.63, 4 Ru 2.63

Values from the calculation:
Its formation energy is 0.080 eV/atom. The symmetry is I4mm, No. 107. As for the total DFT energy (no corrections): -9.1189 eV per atom. The distance to the lowest polymorph of the same formula is 0.069 eV/atom. Its density of states at the Fermi level is 3.818 states/eV per cell.

(9)
Entry from Alexandria: a relaxed structure of HIrSe2 (GGA-PBEsol).

a = 3.7946 Å, b = 3.7946 Å, c = 6.2795 Å
α = 72.41°, β = 72.41°, γ = 60.00°
With the nearest neighbours (Å) after each atom.
Fractional positions:
H: 0.0000 0.0000 0.0000  2 Se 1.77
Ir: 0.5000 0.5000 0.5000  6 Se 2.48
Se: 0.1003 0.1003 0.6992  1 H 1.77
Se: 0.8997 0.8997 0.3008  1 H 1.77

Values from the calculation:
The symmetry is R-3m, No. 166. As for the total DFT energy (no corrections): -5.3506 eV per atom. The distance to the lowest polymorph of the same formula is 0.000 eV/atom.

(10)
Entry from Alexandria: a relaxed structure of Li2MgRu (GGA-PBEsol).

a = 3.7218 Å, b = 3.7218 Å, c = 4.1892 Å
α = 90.00°, β = 90.00°, γ = 90.00°
With the nearest neighbours (Å) after each atom.
Fractional positions:
Li: 0.0000 0.5000 0.0000  4 Li 2.63, 4 Mg 2.80, 4 Ru 2.80
Li: 0.5000 0.0000 0.0000  4 Li 2.63, 4 Mg 2.80, 4 Ru 2.80
Mg: 0.5000 0.5000 0.5000  4 Ru 2.63, 8 Li 2.80
Ru: 0.0000 0.0000 0.5000  4 Mg 2.63, 8 Li 2.80

Values from the calculation:
Its formation energy is 0.232 eV/atom. The symmetry is P4/mmm, No. 123. As for the total DFT energy (no corrections): -3.7241 eV per atom. Its density of states at the Fermi level is 1.356 states/eV per cell.

(11)
Entry from Alexandria: a relaxed structure of Ta2BTeCl (GGA-PBEsol).

a = 5.0744 Å, b = 5.0744 Å, c = 5.0596 Å
α = 90.00°, β = 90.00°, γ = 90.00°
With the nearest neighbours (Å) after each atom.
Fractional positions:
Cl: 0.0000 0.0000 0.5000  2 Te 2.53
B: 0.5000 0.5000 0.5000  8 Ta 3.58, 4 Cl 3.59
Te: 0.0000 0.0000 0.0000  2 Cl 2.53, 4 Ta 2.54
Ta: 0.0000 0.5000 0.0000  2 Te 2.54
Ta: 0.5000 0.0000 0.0000  2 Te 2.54

Values from the calculation:
The symmetry is P4/mmm, No. 123. As for the total DFT energy (no corrections): -4.9415 eV per atom. Its density of states at the Fermi level is 6.254 states/eV per cell.

(12)
Entry from Alexandria: a relaxed structure of ScTeRhI2 (GGA-PBEsol).

a = 5.2007 Å, b = 5.2007 Å, c = 5.2481 Å
α = 90.00°, β = 90.00°, γ = 90.00°
With the nearest neighbours (Å) after each atom.
Fractional positions:
I: 0.0000 0.5000 0.0000  2 Rh 2.60
I: 0.5000 0.0000 0.0000  2 Rh 2.60
Sc: 0.5000 0.5000 0.5000  4 Te 3.68, 8 I 3.69
Te: 0.0000 0.0000 0.5000  2 Rh 2.62
Rh: 0.0000 0.0000 0.0000  4 I 2.60, 2 Te 2.62

Values from the calculation:
The symmetry is P4/mmm, No. 123. As for the total DFT energy (no corrections): -4.3327 eV per atom. Its density of states at the Fermi level is 4.183 states/eV per cell.

Spin magnetization for every record listed, in sequence, given in μB/atom: 0.0003, 0.8009, 0.0001, 0.9584, 0.0000, 0.3152, 0.0001, 0.0005, 0.0000, 0.0001, 0.0024, 0.0754.